{"formula": "SrTe2Br", "functional": "PBE", "state": "relaxed", "lattice_angstrom": [[4.473, 0.000, 0.000], [0.000, 4.473, 0.000], [2.236, 2.236, 13.410]], "species": ["Br", "Br", "Sr", "Sr", "Te", "Te", "Te", "Te"], "fractional_positions": [[0.500, 0.500, 0.000], [0.250, 0.750, 0.500], [0.750, 0.250, 0.500], [0.000, 0.000, 0.000], [0.632, 0.125, 0.250], [0.118, 0.625, 0.250], [0.875, 0.882, 0.750], [0.375, 0.368, 0.750]], "n_ef_per_ev_fu": 0.91}

{"formula": "SrAlCl2", "functional": "PBE", "state": "relaxed", "lattice_angstrom": [[5.035, -0.017, 0.002], [3.383, 3.730, 0.002], [0.998, 0.440, 6.356]], "species": ["Cl", "Cl", "Sr", "Al"], "fractional_positions": [[0.954, 0.954, 0.044], [0.546, 0.546, 0.456], [0.250, 0.250, 0.250], [0.750, 0.750, 0.750]], "n_ef_per_ev_fu": 1.59}

{"formula": "HfTa3Cu", "functional": "PBE", "state": "relaxed", "lattice_angstrom": [[-2.081, -0.219, 4.422], [-2.063, -4.274, -1.183], [3.917, -2.368, 1.726]], "species": ["Cu", "Ta", "Ta", "Ta", "Hf"], "fractional_positions": [[0.500, 0.500, 0.500], [0.000, 0.500, 0.000], [0.000, 0.000, 0.500], [0.500, 0.000, 0.000], [0.000, 0.000, 0.000]], "delta_e_f_mev_per_atom": 2139, "n_ef_per_ev_fu": 7.73}

{"formula": "RbLaOs2", "functional": "PBE", "state": "relaxed", "lattice_angstrom": [[-0.963, -4.276, 2.626], [-1.093, 0.254, 4.985], [-4.742, -0.985, 1.630]], "species": ["Os", "Os", "Rb", "La"], "fractional_positions": [[0.750, 0.750, 0.750], [0.250, 0.250, 0.250], [0.000, 0.000, 0.000], [0.500, 0.500, 0.500]], "delta_e_f_mev_per_atom": 1645, "n_ef_per_ev_fu": 8.88}

no.,ΔE to the lowest computed polymorph (eV/atom)
1,0.143
2,0.078
3,1.108
4,0.488